Entry 1:
First-principles (PBE) data for a geometry-optimized KUMoN4 structure, as listed in the Alexandria database.

Summary:
SG	P2_1/m
electronic total energy	-121.63	eV for the cell shown
V	18.51	A^3/atom
magnetic moment	1.0	μB/f.u.

a = 6.031 Å, b = 5.877 Å, c = 7.773 Å
α = 90.00°, β = 109.89°, γ = 90.00°
Site moments in Bohr magnetons follow the coordinates.
Atoms (fractional coordinates):
N: 0.032 0.512 0.336  -0.04
N: 0.968 0.488 0.664  -0.04
N: 0.032 0.988 0.336  -0.04
N: 0.487 0.750 0.562  -0.03
N: 0.469 0.750 0.216  -0.04
N: 0.531 0.250 0.784  -0.04
N: 0.968 0.012 0.664  -0.04
N: 0.513 0.250 0.438  -0.03
Mo: 0.748 0.250 0.658  0.13
Mo: 0.252 0.750 0.342  0.13
U: 0.204 0.250 0.545  0.99
U: 0.796 0.750 0.455  0.99
K: 0.671 0.750 0.931  0.00
K: 0.329 0.250 0.069  0.00

***

Entry 2:
First-principles (PBE) data for a geometry-optimized KYMoN3 structure, as listed in the Alexandria database.

Summary:
SG	C2/m
electronic total energy	-93.38	eV for the cell shown
V	16.81	A^3/atom
magnetic moment	0.0	μB/f.u.

a = 3.891 Å, b = 7.033 Å, c = 7.912 Å
α = 103.63°, β = 90.00°, γ = 106.06°
Atoms (fractional coordinates):
N: 0.162 0.323 0.364
N: 0.838 0.677 0.636
N: 0.488 0.976 0.654
N: 0.135 0.270 0.785
N: 0.865 0.730 0.215
N: 0.512 0.024 0.346
Mo: 0.006 0.013 0.322
Mo: 0.994 0.987 0.678
K: 0.352 0.704 0.930
K: 0.648 0.296 0.070
Y: 0.662 0.324 0.584
Y: 0.338 0.676 0.416

***

Entry 3:
First-principles (PBE) data for a geometry-optimized KZrMoN4 structure, as listed in the Alexandria database.

Summary:
SG	P2_1/m
electronic total energy	-113.54	eV for the cell shown
V	18.37	A^3/atom
magnetic moment	1.0	μB/f.u.

a = 5.886 Å, b = 5.943 Å, c = 7.639 Å
α = 90.00°, β = 105.78°, γ = 90.00°
Site moments in Bohr magnetons follow the coordinates.
Atoms (fractional coordinates):
Mo: 0.712 0.250 0.640  -0.09
Mo: 0.288 0.750 0.360  -0.09
N: 0.936 0.484 0.654  0.16
N: 0.936 0.016 0.654  0.16
N: 0.500 0.250 0.416  0.29
N: 0.496 0.250 0.782  0.21
N: 0.504 0.750 0.218  0.21
N: 0.064 0.984 0.346  0.16
N: 0.064 0.516 0.346  0.16
N: 0.500 0.750 0.584  0.29
K: 0.280 0.250 0.064  0.00
K: 0.720 0.750 0.936  0.00
Zr: 0.817 0.750 0.451  -0.02
Zr: 0.183 0.250 0.549  -0.02

***

Entry 4:
First-principles (PBE) data for a geometry-optimized KNa2Mo structure, as listed in the Alexandria database.

Summary:
SG	I-42d
DFT formation energy	4.78	eV/f.u.
V	38.81	A^3/atom
magnetic moment	4.8	μB/f.u.

a = 9.307 Å, b = 9.307 Å, c = 7.494 Å
α = 51.61°, β = 51.61°, γ = 90.00°
Site moments in Bohr magnetons follow the coordinates.
Atoms (fractional coordinates):
Mo: 0.750 0.250 0.500  3.75
Mo: 0.000 0.000 0.000  3.75
Na: 0.092 0.625 0.250  0.00
Na: 0.658 0.125 0.250  0.00
Na: 0.875 0.908 0.750  -0.01
Na: 0.375 0.342 0.750  0.00
K: 0.250 0.750 0.500  0.01
K: 0.500 0.500 0.000  0.01

***

Entry 5:
First-principles (PBE) data for a geometry-optimized K2NaMo2 structure, as listed in the Alexandria database.

Summary:
SG	P4/mbm
DFT formation energy	5.69	eV/f.u.
V	33.91	A^3/atom
magnetic moment	0.0	μB/f.u.

a = 10.570 Å, b = 10.570 Å, c = 3.035 Å
α = 90.00°, β = 90.00°, γ = 90.00°
Atoms (fractional coordinates):
Mo: 0.930 0.430 0.500
Mo: 0.430 0.070 0.500
Mo: 0.570 0.930 0.500
Mo: 0.070 0.570 0.500
K: 0.290 0.790 0.000
K: 0.710 0.210 0.000
K: 0.790 0.710 0.000
K: 0.210 0.290 0.000
Na: 0.500 0.500 0.000
Na: 0.000 0.000 0.000

***

Entry 6:
First-principles (PBE) data for a geometry-optimized KNa2Mo structure, as listed in the Alexandria database.

Summary:
SG	Fm-3m
DFT formation energy	4.32	eV/f.u.
V	34.54	A^3/atom
magnetic moment	4.7	μB/f.u.

a = 5.803 Å, b = 5.803 Å, c = 5.803 Å
α = 60.00°, β = 60.00°, γ = 60.00°
Site moments in Bohr magnetons follow the coordinates.
Atoms (fractional coordinates):
K: 0.000 0.000 0.000  0.00
Mo: 0.500 0.500 0.500  3.66
Na: 0.750 0.750 0.750  -0.01
Na: 0.250 0.250 0.250  -0.01

***

Entry 7:
First-principles (PBE) data for a geometry-optimized K2NaMo structure, as listed in the Alexandria database.

Summary:
SG	Fm-3m
DFT formation energy	4.57	eV/f.u.
V	43.16	A^3/atom
magnetic moment	5.0	μB/f.u.

a = 6.250 Å, b = 6.250 Å, c = 6.250 Å
α = 60.00°, β = 60.00°, γ = 60.00°
Site moments in Bohr magnetons follow the coordinates.
Atoms (fractional coordinates):
K: 0.750 0.750 0.750  0.01
K: 0.250 0.250 0.250  0.01
Na: 0.000 0.000 0.000  -0.02
Mo: 0.500 0.500 0.500  3.82

***

Entry 8:
First-principles (PBE) data for a geometry-optimized K2NaMo2 structure, as listed in the Alexandria database.

Summary:
SG	I4/mmm
DFT formation energy	3.83	eV/f.u.
V	34.26	A^3/atom
magnetic moment	0.0	μB/f.u.

a = 3.561 Å, b = 3.561 Å, c = 13.745 Å
α = 82.56°, β = 82.56°, γ = 90.00°
Atoms (fractional coordinates):
K: 0.369 0.369 0.262
K: 0.631 0.631 0.738
Mo: 0.750 0.250 0.500
Mo: 0.250 0.750 0.500
Na: 0.000 0.000 0.000

***

Entry 9:
First-principles (PBE) data for a geometry-optimized KNa3Mo structure, as listed in the Alexandria database.

Summary:
SG	Pm-3m
DFT formation energy	4.92	eV/f.u.
V	46.74	A^3/atom
magnetic moment	5.0	μB/f.u.

a = 6.159 Å, b = 6.159 Å, c = 6.159 Å
α = 90.00°, β = 90.00°, γ = 90.00°
Site moments in Bohr magnetons follow the coordinates.
Atoms (fractional coordinates):
Mo: 0.000 0.000 0.000  3.79
Na: 0.500 0.000 0.000  0.03
Na: 0.000 0.000 0.500  0.00
Na: 0.000 0.500 0.000  0.01
K: 0.500 0.500 0.500  -0.01

***

Entry 10:
First-principles (PBE) data for a geometry-optimized KNa3Mo structure, as listed in the Alexandria database.

Summary:
SG	Pm-3m
DFT formation energy	6.95	eV/f.u.
V	43.53	A^3/atom
magnetic moment	4.8	μB/f.u.

a = 6.015 Å, b = 6.015 Å, c = 6.015 Å
α = 90.00°, β = 90.00°, γ = 90.00°
Site moments in Bohr magnetons follow the coordinates.
Atoms (fractional coordinates):
Na: 0.500 0.000 0.000  -0.02
Na: 0.000 0.500 0.000  -0.02
Na: 0.000 0.000 0.500  -0.01
K: 0.000 0.000 0.000  -0.02
Mo: 0.500 0.500 0.500  3.88

***

Entry 11:
First-principles (PBE) data for a geometry-optimized K2NaMo structure, as listed in the Alexandria database.

Summary:
SG	I-42d
DFT formation energy	4.95	eV/f.u.
V	45.28	A^3/atom
magnetic moment	5.0	μB/f.u.

a = 9.994 Å, b = 9.994 Å, c = 7.943 Å
α = 51.02°, β = 51.02°, γ = 90.00°
Site moments in Bohr magnetons follow the coordinates.
Atoms (fractional coordinates):
Mo: 0.000 0.000 0.000  3.84
Mo: 0.750 0.250 0.500  3.84
K: 0.875 0.881 0.750  0.01
K: 0.631 0.125 0.250  0.01
K: 0.119 0.625 0.250  0.01
K: 0.375 0.369 0.750  0.01
Na: 0.250 0.750 0.500  0.00
Na: 0.500 0.500 0.000  -0.01